(1)
AcAl2OsO8: optimized geometry, PBE-GGA.

As for the total moment: 0.651 μB/f.u. For the total energy, the calculation gives -177.7 eV for the cell shown. As for the crystal system: monoclinic. The calculation puts the uncorrected formation energy at -2.1947 eV per atom. For the calculated volume, the calculation gives 313 Å³/cell.

The structure belongs to space group C2/m (No. 12); the cell edges are 7.6304, 6.0513 and 6.9628 Å and the angles 90.00°, 102.88° and 90.00°. The inequivalent atoms are Ac at (0.0000, 0.0000, 0.0000), Al at (0.0460, 0.5000, 0.2097), Os at (0.0000, 0.0000, 0.5000), O at (0.0074, 0.2248, 0.3003), O at (0.1613, 0.5000, 0.0050) and O at (0.2415, 0.0000, 0.5787).

=====

(2)
Cu2AsRu: optimized geometry, PBE-GGA.

For the formation energy from the elements, the calculation gives 0.332 eV per atom. As for the total moment: 0.000 μB/f.u. For the total energy, the calculation gives -41.6 eV for the cell shown. As for the crystal system: orthorhombic. For the calculated volume, the calculation gives 115 Å³/cell.

The structure belongs to space group Cmm2 (No. 35); the cell edges are 2.9175, 4.6859 and 8.4091 Å and the angles 90.00°, 90.00° and 90.00°. The inequivalent atoms are Cu at (0.0000, 0.0000, 0.0000), Cu at (0.0000, 0.5000, 0.2347), As at (0.0000, 0.5000, 0.7317) and Ru at (0.0000, 0.0000, 0.4902).

=====

calculated volume of number 1 (AcAl2OsO8)?
313 Å³/cell